Here is an optimized crystal structure of CaV3O from the Alexandria database. Energies are from PBE with a Hubbard U.

Summary:
Total energy: -27.9 eV for the cell shown
Crystal system: cubic

abc: 4.517 4.517 4.517
angles: 90.00 90.00 90.00
Last column: magnetic moment on the atom in μB.
Fractional positions:
Ca 0.500 0.500 0.500  0.05
O 0.000 0.000 0.000  0.02
V 0.000 0.500 0.000  2.64
V 0.000 0.000 0.500  2.64
V 0.500 0.000 0.000  2.64